Record 1
# TbZnGa

A geometry-optimized TbZnGa structure (PBE, the Alexandria database).

abc: 4.4358 4.4358 3.5976
angles: 90.00 90.00 120.00
Positions (direct):
Tb 0.0000 0.0000 0.0000
Zn 0.6667 0.3333 0.5000
Ga 0.3333 0.6667 0.5000

Properties
- Formation enthalpy at 0 K: -1.68 eV per formula unit

---

Record 2
# EuYAgBi

A geometry-optimized EuYAgBi structure (PBE, the Alexandria database).

abc: 5.4200 5.4200 5.4200
angles: 60.00 60.00 60.00
Positions (direct):
Eu 0.0000 0.0000 0.0000
Y 0.5000 0.5000 0.5000
Ag 0.2500 0.2500 0.2500
Bi 0.7500 0.7500 0.7500

Properties
- Formation enthalpy at 0 K: -2.01 eV per formula unit

---

Record 3
# Tc2GeSbSe

A geometry-optimized Tc2GeSbSe structure (PBE, the Alexandria database).

abc: 4.7860 4.7860 4.8286
angles: 90.00 90.00 90.00
Positions (direct):
Tc 0.0000 0.5000 0.0000
Tc 0.5000 0.0000 0.0000
Ge 0.0000 0.0000 0.0000
Sb 0.5000 0.5000 0.5000
Se 0.0000 0.0000 0.5000

Properties
- Formation energy (no corrections): 1.19 eV per atom

---

Record 4
# LiHgIr2

A geometry-optimized LiHgIr2 structure (PBE, the Alexandria database).

abc: 10.0240 10.0240 10.0240
angles: 158.53 158.53 30.54
Positions (direct):
Li 0.0000 0.0000 0.0000
Li 0.7500 0.2500 0.5000
Hg 0.2500 0.7500 0.5000
Hg 0.5000 0.5000 0.0000
Ir 0.1048 0.6250 0.9798
Ir 0.3750 0.3548 0.4798
Ir 0.6452 0.1250 0.0202
Ir 0.8750 0.8952 0.5202

Properties
- Formation enthalpy at 0 K: 1.54 eV per formula unit

---

Record 5
# TaSi2Se

A geometry-optimized TaSi2Se structure (PBE, the Alexandria database).

abc: 3.5274 3.2525 6.0913
angles: 90.00 102.94 90.00
Positions (direct):
Ta 0.0000 0.0000 0.0000
Si 0.4225 0.5000 0.7891
Si 0.5775 0.5000 0.2109
Se 0.0000 0.0000 0.5000

Properties
- Formation energy (no corrections): 0.03 eV per atom

---

Record 6
# Hf5P2N

A geometry-optimized Hf5P2N structure (PBE, the Alexandria database).

abc: 5.5311 5.5311 11.7114
angles: 90.00 90.00 125.86
Positions (direct):
Hf 0.0579 0.9421 0.6244
Hf 0.0579 0.9421 0.8756
Hf 0.3051 0.6949 0.2500
Hf 0.3752 0.6248 0.6123
Hf 0.3752 0.6248 0.8877
Hf 0.6248 0.3752 0.1123
Hf 0.6248 0.3752 0.3877
Hf 0.6949 0.3051 0.7500
Hf 0.9421 0.0579 0.1244
Hf 0.9421 0.0579 0.3756
P 0.1913 0.8087 0.0561
P 0.1913 0.8087 0.4439
P 0.8087 0.1913 0.5561
P 0.8087 0.1913 0.9439
N 0.2244 0.7756 0.7500
N 0.7756 0.2244 0.2500

Properties
- Formation energy (no corrections): -0.86 eV per atom

---

Record 7
# PrPaNiN3

A geometry-optimized PrPaNiN3 structure (PBE, the Alexandria database).

abc: 7.2590 3.4850 7.2736
angles: 90.00 101.35 90.00
Positions (direct):
Pr 0.1761 0.2500 0.2188
Pr 0.8239 0.7500 0.7812
Pa 0.3341 0.7500 0.8207
Pa 0.6659 0.2500 0.1793
Ni 0.0947 0.2500 0.5770
Ni 0.9053 0.7500 0.4230
N 0.1340 0.2500 0.8652
N 0.1890 0.7500 0.4934
N 0.4399 0.7500 0.1429
N 0.5601 0.2500 0.8571
N 0.8110 0.2500 0.5066
N 0.8660 0.7500 0.1348

Properties
- Formation energy (no corrections): -1.05 eV per atom

---

Record 8
# GdPa3

A geometry-optimized GdPa3 structure (PBE, the Alexandria database).

abc: 6.5073 6.5073 6.5073
angles: 151.11 60.37 128.23
Positions (direct):
Gd 0.0000 0.0000 0.0000
Pa 0.3212 0.5566 0.7646
Pa 0.4867 0.9867 0.5000
Pa 0.7920 0.5566 0.2354

Properties
- Excess energy over the best structure of this formula in the dataset: 15 meV/atom
- Formation enthalpy at 0 K: 0.69 eV per formula unit

---

Record 9
# MgCoRh4

A geometry-optimized MgCoRh4 structure (PBE, the Alexandria database).

abc: 5.1068 5.1068 5.1068
angles: 60.00 60.00 60.00
Positions (direct):
Mg 0.0000 0.0000 0.0000
Co 0.2500 0.2500 0.2500
Rh 0.1254 0.6249 0.6249
Rh 0.6249 0.1254 0.6249
Rh 0.6249 0.6249 0.1254
Rh 0.6249 0.6249 0.6249

Properties
- Formation enthalpy at 0 K: 1.07 eV per formula unit

---

Record 10
# Ac2HF

A geometry-optimized Ac2HF structure (PBE, the Alexandria database).

abc: 8.4227 8.4227 8.4227
angles: 27.77 27.77 27.77
Positions (direct):
Ac 0.0989 0.0989 0.0989
Ac 0.9011 0.9011 0.9011
H 0.5000 0.5000 0.5000
F 0.0000 0.0000 0.0000

Properties
- DFT total energy: -4.657 eV/atom

---

Record 11
# Pm2Co2Si3

A geometry-optimized Pm2Co2Si3 structure (PBE, the Alexandria database).

abc: 5.6900 5.6900 6.8922
angles: 119.56 119.56 39.20
Positions (direct):
Pm 0.1363 0.1363 0.2631
Pm 0.8637 0.8637 0.7369
Co 0.1274 0.1274 0.7140
Co 0.8726 0.8726 0.2860
Si 0.3466 0.3466 0.0653
Si 0.5000 0.5000 0.5000
Si 0.6534 0.6534 0.9347

Properties
- Excess energy over the best structure of this formula in the dataset: 11 meV/atom
- Formation energy (no corrections): -0.60 eV per atom

---

Record 12
# Rb2NpAg2Se6

A geometry-optimized Rb2NpAg2Se6 structure (PBE, the Alexandria database).

abc: 7.7328 7.7328 7.2861
angles: 90.00 90.00 120.00
Positions (direct):
Rb 0.3333 0.6667 0.3247
Rb 0.6667 0.3333 0.6753
Np 0.0000 0.0000 0.0000
Ag 0.3333 0.6667 0.8248
Ag 0.6667 0.3333 0.1752
Se 0.1023 0.3004 0.7623
Se 0.1981 0.8977 0.7623
Se 0.3004 0.1981 0.2377
Se 0.6996 0.8019 0.7623
Se 0.8019 0.1023 0.2377
Se 0.8977 0.6996 0.2377

Properties
- Formation energy (no corrections): -0.52 eV per atom

---

Record 13
# MnReIr

A geometry-optimized MnReIr structure (PBE, the Alexandria database).

abc: 6.9326 6.7101 2.6915
angles: 83.31 74.01 22.68
Positions (direct):
Mn 0.0000 0.0000 0.0000
Re 0.3419 0.3419 0.6581
Ir 0.6649 0.6649 0.3351

Properties
- Excess energy over the best structure of this formula in the dataset: 280 meV/atom
- Formation enthalpy at 0 K: 0.60 eV per formula unit

---

Record 14
# Pu2IrPb

A geometry-optimized Pu2IrPb structure (PBE, the Alexandria database).

abc: 4.5382 4.5382 4.4232
angles: 90.00 90.00 90.00
Positions (direct):
Pu 0.0000 0.5000 0.0000
Pu 0.5000 0.0000 0.0000
Ir 0.0000 0.0000 0.5000
Pb 0.5000 0.5000 0.5000

Properties
- Excess energy over the best structure of this formula in the dataset: 207 meV/atom
- Formation enthalpy at 0 K: -0.53 eV per formula unit

---

Record 15
# EuSiPt2

A geometry-optimized EuSiPt2 structure (PBE, the Alexandria database).

abc: 9.2836 9.2836 4.1841
angles: 90.00 90.00 154.14
Positions (direct):
Eu 0.0981 0.9019 0.7500
Eu 0.9019 0.0981 0.2500
Si 0.3231 0.6769 0.7500
Si 0.6769 0.3231 0.2500
Pt 0.2489 0.7511 0.2500
Pt 0.4525 0.5475 0.7500
Pt 0.5475 0.4525 0.2500
Pt 0.7511 0.2489 0.7500

Properties
- Formation energy (no corrections): -1.06 eV per atom

---

Record 16
# CoReAu2

A geometry-optimized CoReAu2 structure (PBE, the Alexandria database).

abc: 4.8678 4.8678 4.8782
angles: 98.83 98.83 32.79
Positions (direct):
Co 0.0000 0.0000 0.0000
Re 0.5000 0.5000 0.5000
Au 0.2510 0.2510 0.7519
Au 0.7490 0.7490 0.2481

Properties
- Excess energy over the best structure of this formula in the dataset: 321 meV/atom
- Formation enthalpy at 0 K: 2.08 eV per formula unit

---

Record 17
# K2CuBr

A geometry-optimized K2CuBr structure (PBE, the Alexandria database).

abc: 7.6764 7.6764 7.6764
angles: 112.46 112.46 103.65
Positions (direct):
K 0.1170 0.6250 0.9920
K 0.3750 0.3670 0.4920
K 0.6330 0.1250 0.0080
K 0.8750 0.8830 0.5080
Cu 0.2500 0.7500 0.5000
Cu 0.5000 0.5000 0.0000
Br 0.0000 0.0000 0.0000
Br 0.7500 0.2500 0.5000

Properties
- Excess energy over the best structure of this formula in the dataset: 87 meV/atom
- Formation energy (no corrections): -0.51 eV per atom

---

Record 18
# Ba3CeAl2O8

A geometry-optimized Ba3CeAl2O8 structure (PBE, the Alexandria database).

abc: 5.9575 5.9575 7.6032
angles: 90.00 90.00 120.00
Positions (direct):
Ba 0.0000 0.0000 0.0000
Ba 0.3333 0.6667 0.6784
Ba 0.6667 0.3333 0.3216
Ce 0.0000 0.0000 0.5000
Al 0.3333 0.6667 0.2222
Al 0.6667 0.3333 0.7778
O 0.1734 0.3469 0.3198
O 0.1734 0.8266 0.3198
O 0.3333 0.6667 0.9960
O 0.3469 0.1734 0.6802
O 0.6531 0.8266 0.3198
O 0.6667 0.3333 0.0040
O 0.8266 0.1734 0.6802
O 0.8266 0.6531 0.6802

Properties
- Formation energy (no corrections): -2.96 eV per atom